Material: SiTeRu3
Method: DFT, PBE
State: optimized geometry

abc: 4.8263 4.8263 4.8263
angles: 90.00 90.00 90.00
Closest atoms and distances in Å follow each position.
Fractional coordinates of all 5 atoms:
Si 0.0000 0.0000 0.0000  12 Ru 3.41
Te 0.5000 0.5000 0.5000  6 Ru 2.41
Ru 0.0000 0.5000 0.5000  2 Te 2.41
Ru 0.5000 0.0000 0.5000  2 Te 2.41
Ru 0.5000 0.5000 0.0000  2 Te 2.41

Output
formation energy without anion corrections	1722	meV/atom
excess energy over the best structure of this formula in the dataset	1085.1	meV per atom
total DFT energy (no corrections)	-5.56	eV per atom
total moment	4.18	μB per cell

Material: Rb2TlHgCl4
Method: DFT, PBE
State: optimized geometry

abc: 16.4730 14.5770 8.6810
angles: 86.26 62.01 31.73
Closest atoms and distances in Å follow each position.
Fractional coordinates of all 16 atoms:
Rb 0.0333 0.0333 0.7167  4 Cl 3.24-3.32
Rb 0.2833 0.2833 0.9667  4 Cl 3.24-3.32
Rb 0.7167 0.7167 0.0333  4 Cl 3.24-3.32
Rb 0.9667 0.9667 0.2833  4 Cl 3.24-3.32
Tl 0.1250 0.1250 0.1250  4 Cl 2.83, 2 Hg 2.87
Tl 0.8750 0.8750 0.8750  4 Cl 2.83, 2 Hg 2.87
Hg 0.3750 0.3750 0.3750  2 Tl 2.87
Hg 0.6250 0.6250 0.6250  2 Tl 2.87
Cl 0.1622 0.2228 0.3193  1 Tl 2.83
Cl 0.2043 0.6807 0.7772  1 Tl 2.83
Cl 0.2228 0.1622 0.7957  1 Tl 2.83
Cl 0.3193 0.7957 0.1622  1 Tl 2.83
Cl 0.6807 0.2043 0.8378  1 Tl 2.83
Cl 0.7772 0.8378 0.2043  1 Tl 2.83
Cl 0.7957 0.3193 0.2228  1 Tl 2.83
Cl 0.8378 0.7772 0.6807  1 Tl 2.83

Output
formation energy without anion corrections	-1165	meV/atom
total DFT energy (no corrections)	-2.66	eV per atom
total moment	0.00	μB per cell

Material: MgScNb
Method: DFT, PBE
State: optimized geometry

abc: 3.1048 3.1048 7.6473
angles: 90.00 90.00 120.00
Closest atoms and distances in Å follow each position.
Fractional coordinates of all 3 atoms:
Mg 0.0000 0.0000 0.0000  3 Nb 3.09, 6 Mg 3.10, 3 Sc 3.29
Sc 0.6667 0.3333 0.3610  3 Nb 2.97, 6 Sc 3.10, 3 Mg 3.29
Nb 0.3333 0.6667 0.6704  3 Sc 2.97, 3 Mg 3.09, 6 Nb 3.10

Output
excess energy over the best structure of this formula in the dataset	172.8	meV per atom
total DFT energy (no corrections)	-5.85	eV per atom
calculated formation energy	148	meV per atom
total moment	0.00	μB per cell

Material: KH3Au
Method: DFT, PBE
State: optimized geometry

abc: 3.7425 3.7425 11.6892
angles: 90.00 90.00 120.00
Closest atoms and distances in Å follow each position.
Fractional coordinates of all 10 atoms:
K 0.0000 0.0000 0.0000  6 H 2.51
K 0.0000 0.0000 0.5000  6 H 2.51
H 0.0000 0.0000 0.2500  3 Au 2.16
H 0.0000 0.0000 0.7500  3 Au 2.16
H 0.3333 0.6667 0.1089  1 Au 1.65
H 0.3333 0.6667 0.3911  1 Au 1.65
H 0.6667 0.3333 0.6089  1 Au 1.65
H 0.6667 0.3333 0.8911  1 Au 1.65
Au 0.3333 0.6667 0.2500  2 H 1.65
Au 0.6667 0.3333 0.7500  2 H 1.65

Output
excess energy over the best structure of this formula in the dataset	180.9	meV per atom
total DFT energy (no corrections)	-2.88	eV per atom
total moment	0.00	μB per cell

- What is the formula in the fourth record?
  KH3Au